Here is a relaxed Mn3SbAs crystal from the Alexandria database. Energies are from PBE.

Cell: 4.620 4.620 4.620 Å, 90.00 90.00 90.00°
Atoms (fractional coordinates):
Mn1 0.000 0.000 0.500
Mn2 0.000 0.500 0.000
Mn3 0.500 0.000 0.000
Sb1 0.500 0.500 0.500
As1 0.000 0.000 0.000

Properties
**Energy above the lowest structure with this stoichiometry**: 0.000 eV/atom
**Symmetry**: No. 221
**Uncorrected formation energy**: 0.48 eV/atom

=====

Here is a relaxed KLi2Mg crystal from the Alexandria database. Energies are from PBE.

Cell: 3.575 3.894 8.792 Å, 90.00 90.00 90.00°
Atoms (fractional coordinates):
K1 0.000 0.000 0.000
Li1 0.000 0.000 0.501
Li2 0.500 0.500 0.331
Mg1 0.500 0.500 0.674

Properties
**Symmetry**: No. 25
**ΔH_f (0 K)**: 0.114 eV/atom

=====

Density of states at the Fermi level, respectively: 6.74; 2.44 states/eV/f.u..